Record 1
First-principles (PBE) data for crystalline CsNbSbTe2 at its relaxed geometry, as listed in the Alexandria database.

Computed properties:
N(E_F) = 2.6314 states/eV per atom
final energy = -2.162 eV per atom
raw formation energy = 10.52 eV per formula unit

Unit cell a=6.0898 b=6.0898 c=6.0030 alpha=90.00 beta=90.00 gamma=90.00
Fractional coordinates of all 5 atoms:
Te1 0.5000 0.0000 0.0000
Nb1 0.5000 0.5000 0.5000
Cs1 0.0000 0.0000 0.0000
Sb1 0.0000 0.0000 0.5000
Te2 0.0000 0.5000 0.0000


Record 2
First-principles (PBE) data for crystalline La2Pm4PrNd2 at its relaxed geometry, as listed in the Alexandria database.

Computed properties:
N(E_F) = 1.4679 states/eV per atom
calculated formation energy = 0.00 eV per atom
final energy = -4.792 eV per atom

Unit cell a=3.7193 b=9.8366 c=9.8745 alpha=115.26 beta=90.00 gamma=100.90
Fractional coordinates of all 9 atoms:
Pm1 0.5189 0.0378 0.3339
La1 0.3334 0.6667 0.0000
Pm2 0.8150 0.6300 0.6655
Pm3 0.1850 0.3700 0.3345
Pm4 0.4811 0.9622 0.6661
Nd1 0.1482 0.2964 0.6659
Nd2 0.8518 0.7036 0.3341
Pr1 0.0000 0.0000 0.0000
La2 0.6666 0.3333 0.0000